Here is crystalline CsSmV2O6 at its relaxed geometry from Alexandria. Energies are from GGA+U.

The structure in POSCAR format:
```
CsSmV2O6
1.0
-4.5001 2.1376 5.7484
-3.1507 -6.8823 0.7556
5.2586 -0.9328 3.1063
O V Cs Sm
12 4 2 2
direct
0.8211 0.8350 0.9470
0.6737 0.5471 0.6162
0.3263 0.4529 0.3838
0.0889 0.6155 0.7420
0.9111 0.3845 0.2580
0.1789 0.1650 0.0530
0.1650 0.1789 0.5530
0.3845 0.9111 0.7580
0.4529 0.3263 0.8838
0.5471 0.6737 0.1162
0.6155 0.0889 0.2420
0.8350 0.8211 0.4470
0.6926 0.8649 0.1820
0.3074 0.1351 0.8180
0.1351 0.3074 0.3180
0.8649 0.6926 0.6820
0.8219 0.1781 0.7500
0.1781 0.8219 0.2500
0.3972 0.6028 0.7500
0.6028 0.3972 0.2500
```

Output
Energy: -7.356 eV per atom
Crystal system: monoclinic
SG: C2/c